# PBE-GGA LiRuBr2, optimized geometry
# V = 94.7 Å³/cell
# spin magnetization = 2.38 μB/f.u.
# formation energy (no corrections) = -0.031 eV per atom
data_LiRuBr2
_cell_length_a 3.915
_cell_length_b 6.967
_cell_length_c 3.472
_cell_angle_alpha 90.00
_cell_angle_beta 90.00
_cell_angle_gamma 90.00
_space_group_name_H-M_alt 'P 1'
_space_group_IT_number 1
_space_group_name_Hall 'P 1'
loop_
_atom_site_label
_atom_site_type_symbol
_atom_site_fract_x
_atom_site_fract_y
_atom_site_fract_z
Br1 Br 0.500 0.500 0.000
Br2 Br 0.000 0.000 0.000
Ru1 Ru 0.000 0.500 0.500
Li1 Li 0.500 0.000 0.500



# PBE-GGA HoSc2Cd3, optimized geometry
# V = 140.1 Å³/cell
# DFT formation energy = -0.30 eV/atom
# spin magnetization = 0.00 μB/f.u.
data_HoSc2Cd3
_cell_length_a 3.598
_cell_length_b 3.598
_cell_length_c 10.824
_cell_angle_alpha 90.00
_cell_angle_beta 90.00
_cell_angle_gamma 90.00
_space_group_name_H-M_alt 'P 1'
_space_group_IT_number 1
_space_group_name_Hall 'P 1'
loop_
_atom_site_label
_atom_site_type_symbol
_atom_site_fract_x
_atom_site_fract_y
_atom_site_fract_z
Cd1 Cd 0.000 0.000 0.682
Cd2 Cd 0.000 0.000 0.000
Cd3 Cd 0.000 0.000 0.318
Sc1 Sc 0.500 0.500 0.161
Sc2 Sc 0.500 0.500 0.839
Ho1 Ho 0.500 0.500 0.500



# PBE-GGA AgBPt3, optimized geometry
# V = 119.9 Å³/cell
# DFT formation energy = 0.58 eV/atom
# spin magnetization = 0.00 μB/f.u.
data_AgBPt3
_cell_length_a 5.568
_cell_length_b 5.568
_cell_length_c 5.568
_cell_angle_alpha 59.23
_cell_angle_beta 59.23
_cell_angle_gamma 59.23
_space_group_name_H-M_alt 'P 1'
_space_group_IT_number 1
_space_group_name_Hall 'P 1'
loop_
_atom_site_label
_atom_site_type_symbol
_atom_site_fract_x
_atom_site_fract_y
_atom_site_fract_z
Pt1 Pt 0.610 0.132 0.132
Pt2 Pt 0.132 0.610 0.132
Pt3 Pt 0.132 0.132 0.610
Ag1 Ag 0.120 0.120 0.120
B1 B 0.881 0.881 0.881



# PBE-GGA BaTcHg2, optimized geometry
# V = 111.0 Å³/cell
# DFT formation energy = 0.49 eV/atom
# spin magnetization = 3.11 μB/f.u.
data_BaTcHg2
_cell_length_a 5.395
_cell_length_b 5.395
_cell_length_c 5.395
_cell_angle_alpha 60.00
_cell_angle_beta 60.00
_cell_angle_gamma 60.00
_space_group_name_H-M_alt 'P 1'
_space_group_IT_number 1
_space_group_name_Hall 'P 1'
loop_
_atom_site_label
_atom_site_type_symbol
_atom_site_fract_x
_atom_site_fract_y
_atom_site_fract_z
Tc1 Tc 0.000 0.000 0.000
Ba1 Ba 0.500 0.500 0.500
Hg1 Hg 0.250 0.250 0.250
Hg2 Hg 0.750 0.750 0.750



# PBE-GGA Ac5Cd2Pb5, optimized geometry
# V = 416.7 Å³/cell
# DFT formation energy = -0.47 eV/atom
# spin magnetization = 0.00 μB/f.u.
data_Ac5Cd2Pb5
_cell_length_a 5.010
_cell_length_b 9.151
_cell_length_c 12.137
_cell_angle_alpha 127.13
_cell_angle_beta 90.00
_cell_angle_gamma 105.89
_space_group_name_H-M_alt 'P 1'
_space_group_IT_number 1
_space_group_name_Hall 'P 1'
loop_
_atom_site_label
_atom_site_type_symbol
_atom_site_fract_x
_atom_site_fract_y
_atom_site_fract_z
Ac1 Ac 0.693 0.385 0.325
Ac2 Ac 0.396 0.792 0.085
Ac3 Ac 0.500 0.000 0.500
Ac4 Ac 0.604 0.208 0.915
Ac5 Ac 0.307 0.615 0.675
Cd1 Cd 0.139 0.279 0.735
Cd2 Cd 0.861 0.721 0.265
Pb1 Pb 0.932 0.863 0.638
Pb2 Pb 0.761 0.523 0.830
Pb3 Pb 0.239 0.477 0.170
Pb4 Pb 0.068 0.137 0.362
Pb5 Pb 0.000 0.000 0.000



# PBE-GGA VSb2IN, optimized geometry
# V = 106.9 Å³/cell
# spin magnetization = 2.90 μB/f.u.
# formation energy (no corrections) = 0.941 eV per atom
data_VSb2IN
_cell_length_a 4.743
_cell_length_b 4.743
_cell_length_c 4.752
_cell_angle_alpha 90.00
_cell_angle_beta 90.00
_cell_angle_gamma 90.00
_space_group_name_H-M_alt 'P 1'
_space_group_IT_number 1
_space_group_name_Hall 'P 1'
loop_
_atom_site_label
_atom_site_type_symbol
_atom_site_fract_x
_atom_site_fract_y
_atom_site_fract_z
V1 V 0.500 0.500 0.500
N1 N 0.000 0.000 0.000
Sb1 Sb 0.500 0.000 0.000
Sb2 Sb 0.000 0.500 0.000
I1 I 0.000 0.000 0.500



# PBE-GGA PmAlTe, optimized geometry
# V = 210.6 Å³/cell
# spin magnetization = 0.00 μB/f.u.
# formation energy (no corrections) = -0.584 eV per atom
data_PmAlTe
_cell_length_a 4.448
_cell_length_b 4.338
_cell_length_c 12.961
_cell_angle_alpha 89.63
_cell_angle_beta 80.12
_cell_angle_gamma 59.16
_space_group_name_H-M_alt 'P 1'
_space_group_IT_number 1
_space_group_name_Hall 'P 1'
loop_
_atom_site_label
_atom_site_type_symbol
_atom_site_fract_x
_atom_site_fract_y
_atom_site_fract_z
Te1 Te 0.242 0.371 0.145
Te2 Te 0.758 0.629 0.855
Al1 Al 0.645 0.170 0.541
Al2 Al 0.355 0.830 0.459
Pm1 Pm 0.817 0.091 0.275
Pm2 Pm 0.183 0.909 0.725



# PBE-GGA PaMnGeAu, optimized geometry
# V = 80.1 Å³/cell
# DFT formation energy = -0.10 eV/atom
# spin magnetization = 3.18 μB/f.u.
data_PaMnGeAu
_cell_length_a 4.838
_cell_length_b 4.838
_cell_length_c 4.838
_cell_angle_alpha 60.00
_cell_angle_beta 60.00
_cell_angle_gamma 60.00
_space_group_name_H-M_alt 'P 1'
_space_group_IT_number 1
_space_group_name_Hall 'P 1'
loop_
_atom_site_label
_atom_site_type_symbol
_atom_site_fract_x
_atom_site_fract_y
_atom_site_fract_z
Au1 Au 0.750 0.750 0.750
Ge1 Ge 0.250 0.250 0.250
Pa1 Pa 0.000 0.000 0.000
Mn1 Mn 0.500 0.500 0.500



# PBE-GGA Li2Cd2Cu, optimized geometry
# V = 102.8 Å³/cell
# DFT formation energy = 0.23 eV/atom
# spin magnetization = 0.00 μB/f.u.
data_Li2Cd2Cu
_cell_length_a 3.985
_cell_length_b 3.985
_cell_length_c 7.057
_cell_angle_alpha 73.60
_cell_angle_beta 73.60
_cell_angle_gamma 90.00
_space_group_name_H-M_alt 'P 1'
_space_group_IT_number 1
_space_group_name_Hall 'P 1'
loop_
_atom_site_label
_atom_site_type_symbol
_atom_site_fract_x
_atom_site_fract_y
_atom_site_fract_z
Cd1 Cd 0.750 0.250 0.500
Cd2 Cd 0.250 0.750 0.500
Cu1 Cu 0.000 0.000 0.000
Li1 Li 0.592 0.592 0.816
Li2 Li 0.408 0.408 0.184



# PBE-GGA Mg3ZrN, optimized geometry
# V = 87.9 Å³/cell
# spin magnetization = 0.00 μB/f.u.
# formation energy (no corrections) = 0.128 eV per atom
data_Mg3ZrN
_cell_length_a 4.447
_cell_length_b 4.447
_cell_length_c 4.447
_cell_angle_alpha 90.00
_cell_angle_beta 90.00
_cell_angle_gamma 90.00
_space_group_name_H-M_alt 'P 1'
_space_group_IT_number 1
_space_group_name_Hall 'P 1'
loop_
_atom_site_label
_atom_site_type_symbol
_atom_site_fract_x
_atom_site_fract_y
_atom_site_fract_z
N1 N 0.000 0.000 0.000
Mg1 Mg 0.500 0.000 0.000
Mg2 Mg 0.000 0.000 0.500
Mg3 Mg 0.000 0.500 0.000
Zr1 Zr 0.500 0.500 0.500



# PBE-GGA TaTl2Cu, optimized geometry
# V = 82.3 Å³/cell
# DFT formation energy = 0.85 eV/atom
# spin magnetization = 1.80 μB/f.u.
data_TaTl2Cu
_cell_length_a 4.882
_cell_length_b 4.882
_cell_length_c 4.882
_cell_angle_alpha 60.00
_cell_angle_beta 60.00
_cell_angle_gamma 60.00
_space_group_name_H-M_alt 'P 1'
_space_group_IT_number 1
_space_group_name_Hall 'P 1'
loop_
_atom_site_label
_atom_site_type_symbol
_atom_site_fract_x
_atom_site_fract_y
_atom_site_fract_z
Tl1 Tl 0.250 0.250 0.250
Tl2 Tl 0.750 0.750 0.750
Ta1 Ta 0.500 0.500 0.500
Cu1 Cu 0.000 0.000 0.000



# PBE-GGA DyScOsAu, optimized geometry
# V = 78.8 Å³/cell
# DFT formation energy = -0.50 eV/atom
# spin magnetization = 0.00 μB/f.u.
data_DyScOsAu
_cell_length_a 4.813
_cell_length_b 4.813
_cell_length_c 4.813
_cell_angle_alpha 60.00
_cell_angle_beta 60.00
_cell_angle_gamma 60.00
_space_group_name_H-M_alt 'P 1'
_space_group_IT_number 1
_space_group_name_Hall 'P 1'
loop_
_atom_site_label
_atom_site_type_symbol
_atom_site_fract_x
_atom_site_fract_y
_atom_site_fract_z
Au1 Au 0.000 0.000 0.000
Dy1 Dy 0.750 0.750 0.750
Sc1 Sc 0.250 0.250 0.250
Os1 Os 0.500 0.500 0.500